## RbBaMn2F8 (GGA+U)

Data for a geometry-optimized RbBaMn2F8 structure.

Computed properties:
DFT total energy (eV/cell): -65.567
N(E_F) (states/eV/cell): 13.14

Unit cell a=6.001 b=6.001 c=8.726 alpha=90.00 beta=90.00 gamma=120.00
Fractional coordinates of all 12 atoms:
Rb 0.000 0.000 0.000
Ba 0.000 0.000 0.500
Mn 0.333 0.667 0.807
Mn 0.667 0.333 0.193
F 0.107 0.336 0.714
F 0.230 0.893 0.714
F 0.333 0.667 0.026
F 0.336 0.230 0.286
F 0.664 0.770 0.714
F 0.667 0.333 0.974
F 0.770 0.107 0.286
F 0.893 0.664 0.286